Entry 1:
# Ac14Hg6Os3

Crystalline Ac14Hg6Os3 at its relaxed geometry (GGA-PBE, Alexandria via LeMat-Bulk).

## Properties
Its calculated formation energy is -0.19 eV/atom. Its space group is P3m1 (156).

a b c (Å): 7.8197 11.1578 11.1578
angles (deg): 120.00 90.00 90.00
With the nearest neighbours (Å) after each atom.
Fractional positions:
Ac  0.9922  0.7527  0.8762  1 Os 2.84
Ac  0.9922  0.1238  0.8765  1 Os 2.84
Ac  0.6660  0.7920  0.2079  1 Os 3.02, 3 Hg 3.30-3.38
Ac  0.2268  0.5324  0.4679  1 Os 3.07, 2 Hg 3.24
Ac  0.9922  0.1235  0.2473  1 Os 2.84
Ac  0.2268  0.9355  0.4676  1 Os 3.07, 2 Hg 3.24
Ac  0.6660  0.4160  0.2080  1 Os 3.02, 3 Hg 3.30-3.38
Hg  0.2617  0.8533  0.1462  6 Ac 3.18-3.38
Ac  0.5154  0.2093  0.7906  1 Os 2.84
Ac  0.2268  0.5321  0.0645  1 Os 3.07, 2 Hg 3.24
Ac  0.5154  0.5813  0.7907  1 Os 2.84
Ac  0.6660  0.7921  0.5840  1 Os 3.02, 3 Hg 3.30-3.38
Hg  0.7962  0.0334  0.5166  6 Ac 3.20-3.50
Ac  0.5154  0.2094  0.4187  1 Os 2.84
Hg  0.2617  0.2930  0.1467  6 Ac 3.18-3.38
Hg  0.2617  0.8538  0.7070  6 Ac 3.18-3.38
Os  0.7964  0.0000  0.0000  4 Ac 2.73-2.84
Os  0.4357  0.6667  0.3333  6 Ac 3.02-3.07
Hg  0.7962  0.4834  0.5168  6 Ac 3.20-3.50
Ac  0.4476  0.0000  0.0000  1 Os 2.73
Ac  0.9684  0.3333  0.6667  1 Os 2.75
Hg  0.7962  0.4832  0.9666  6 Ac 3.20-3.50
Os  0.3198  0.3333  0.6667  4 Ac 2.75-2.84

Entry 2:
# Ba3TiIr

Crystalline Ba3TiIr at its relaxed geometry (GGA-PBE, Alexandria via LeMat-Bulk).

## Properties
Its calculated formation energy is 0.50 eV/atom. Its space group is Pm-3m (221).

a b c (Å): 6.0872 6.0872 6.0872
angles (deg): 90.00 90.00 90.00
With the nearest neighbours (Å) after each atom.
Fractional positions:
Ba  0.5000  0.0000  0.0000  2 Ir 3.04
Ba  0.0000  0.5000  0.0000  2 Ir 3.04
Ba  0.0000  0.0000  0.5000  2 Ir 3.04
Ir  0.0000  0.0000  0.0000  6 Ba 3.04
Ti  0.5000  0.5000  0.5000  12 Ba 4.30

Entry 3:
# VCu2HRh

Crystalline VCu2HRh at its relaxed geometry (GGA-PBE, Alexandria via LeMat-Bulk).

## Properties
The value obtained for the final energy is -5.556 eV per atom. Its space group is P4/mmm (123).

a b c (Å): 3.6839 3.6839 3.9968
angles (deg): 90.00 90.00 90.00
With the nearest neighbours (Å) after each atom.
Fractional positions:
Cu  0.0000  0.5000  0.0000  2 H 1.84
V  0.0000  0.0000  0.5000  2 H 2.00
Rh  0.5000  0.5000  0.5000  4 V 2.60, 8 Cu 2.72
H  0.0000  0.0000  0.0000  4 Cu 1.84, 2 V 2.00
Cu  0.5000  0.0000  0.0000  2 H 1.84

Entry 4:
# Li9AlCd2

Crystalline Li9AlCd2 at its relaxed geometry (GGA-PBE, Alexandria via LeMat-Bulk).

## Properties
Its calculated formation energy is -0.06 eV/atom. Its space group is C2/m (12).

a b c (Å): 5.2753 5.2754 9.5325
angles (deg): 105.58 105.58 60.50
With the nearest neighbours (Å) after each atom.
Fractional positions:
Li  0.5000  0.5000  0.5000  6 Li 2.73-2.74
Li  0.2374  0.7519  0.7460  5 Li 2.57-2.73, 1 Al 2.73
Li  0.7519  0.2374  0.7459  5 Li 2.57-2.73, 1 Al 2.73
Cd  0.1887  0.1887  0.5667  13 Li 3.09-3.35, 3 Cd 3.28-3.29
Li  0.3112  0.3111  0.9368  3 Al 3.08-3.12, 12 Li 3.14-3.29, 1 Cd 3.35
Li  0.2482  0.2482  0.2507  5 Li 2.57-2.74, 1 Al 2.73
Li  0.6888  0.6889  0.0632  3 Al 3.08-3.12, 12 Li 3.14-3.29, 1 Cd 3.35
Cd  0.8113  0.8113  0.4333  13 Li 3.09-3.35, 3 Cd 3.28-3.29
Al  0.0000  0.0000  0.0000  6 Li 2.73
Li  0.2481  0.7626  0.2541  5 Li 2.57-2.73, 1 Al 2.73
Li  0.7626  0.2481  0.2540  5 Li 2.57-2.73, 1 Al 2.73
Li  0.7518  0.7518  0.7493  5 Li 2.57-2.74, 1 Al 2.73

| no. | density of states at the Fermi level (states/eV/f.u.) |
| --- | --- |
| 1 | 21.592 |
| 2 | 9.091 |
| 3 | 3.708 |
| 4 | 4.223 |